A plane-wave DFT calculation with PBE was carried out for a geometry-optimized In2Bi2Te7 structure.

Geometry as POSCAR:
```
In2Bi2Te7
1.0
7.628 -0.450 -0.515
-1.119 7.821 -0.901
-1.119 -1.934 7.632
Te In Bi
7 2 2
direct
0.275 0.103 0.507 Te
0.275 0.507 0.103 Te
0.772 0.324 0.324 Te
0.500 0.000 0.000 Te
0.725 0.897 0.493 Te
0.228 0.676 0.676 Te
0.725 0.493 0.897 Te
0.367 0.267 0.267 In
0.633 0.733 0.733 In
0.000 0.693 0.307 Bi
0.000 0.307 0.693 Bi
```

**ρ**: 5.9 g cm⁻³
**Energy relative to the elements, uncorrected**: -0.102 eV per atom
**Total DFT energy (no corrections)**: -0.2429 Ry/atom
**Space-group type**: C2/m